Computed, not measured: a relaxed structure of NiPd at the GGA-PBE level of DFT.

- total magnetic moment (μB/f.u.) = 1.27
- ΔE_f (meV per atom) = 1144.6
- uncorrected energy (eV/atom) = -4.342

a = 6.6935 Å, b = 6.6935 Å, c = 6.6935 Å
α = 90.00°, β = 90.00°, γ = 90.00°
Last column: nearest neighbours and their distance in Å.
Fractional coordinates of all 12 atoms:
Pd 0.7500 0.0000 0.5000  4 Ni 2.37
Pd 0.0000 0.5000 0.2500  4 Ni 2.37
Pd 0.2500 0.0000 0.5000  4 Ni 2.37
Pd 0.0000 0.5000 0.7500  4 Ni 2.37
Pd 0.5000 0.7500 0.0000  4 Ni 2.37
Pd 0.5000 0.2500 0.0000  4 Ni 2.37
Ni 0.0000 0.7500 0.5000  4 Pd 2.37
Ni 0.7500 0.5000 0.0000  4 Pd 2.37
Ni 0.2500 0.5000 0.0000  4 Pd 2.37
Ni 0.5000 0.0000 0.2500  4 Pd 2.37
Ni 0.5000 0.0000 0.7500  4 Pd 2.37
Ni 0.0000 0.2500 0.5000  4 Pd 2.37

---

Computed, not measured: a relaxed structure of Zn2NiAu3 at the GGA-PBE level of DFT.

- total magnetic moment (μB/f.u.) = 0.00
- ΔE_f (meV per atom) = -70.9
- uncorrected energy (eV/atom) = -3.098
- offset from the most stable computed form (kcal/mol of atoms) = 0.21

a = 2.8524 Å, b = 6.9029 Å, c = 10.7938 Å
α = 73.11°, β = 82.41°, γ = 78.08°
Last column: nearest neighbours and their distance in Å.
Fractional coordinates of all 12 atoms:
Au 0.3838 0.1833 0.0492  3 Zn 2.69, 5 Au 2.85-2.94
Au 0.6162 0.8167 0.9508  3 Zn 2.69, 5 Au 2.85-2.94
Au 0.0482 0.1442 0.7593  2 Ni 2.66, 3 Zn 2.73-2.80, 6 Au 2.85-2.97
Au 0.9518 0.8558 0.2407  2 Ni 2.66, 3 Zn 2.73-2.80, 6 Au 2.85-2.97
Au 0.2456 0.1717 0.3371  2 Ni 2.67, 4 Zn 2.73-2.86, 4 Au 2.85-2.97
Au 0.7544 0.8283 0.6629  2 Ni 2.67, 4 Zn 2.73-2.86, 4 Au 2.85-2.97
Ni 0.5841 0.5113 0.3205  4 Zn 2.45-2.51, 4 Au 2.66-2.67
Ni 0.4159 0.4887 0.6795  4 Zn 2.45-2.51, 4 Au 2.66-2.67
Zn 0.1720 0.5321 0.1239  2 Ni 2.51, 4 Au 2.69-2.80
Zn 0.3958 0.7415 0.4669  2 Ni 2.45-2.49, 4 Au 2.73
Zn 0.6042 0.2585 0.5331  2 Ni 2.45-2.49, 4 Au 2.73
Zn 0.8280 0.4679 0.8761  2 Ni 2.51, 4 Au 2.69-2.80

---

Computed, not measured: a relaxed structure of CrCo2Ru at the GGA-PBE level of DFT.

- total magnetic moment (μB/f.u.) = 0.01
- ΔE_f (meV per atom) = 122.8
- uncorrected energy (eV/atom) = -8.155
- offset from the most stable computed form (kcal/mol of atoms) = 1.64

a = 4.3703 Å, b = 4.3703 Å, c = 4.4333 Å
α = 80.91°, β = 80.91°, γ = 33.86°
Last column: nearest neighbours and their distance in Å.
Fractional coordinates of all 4 atoms:
Co 0.9991 0.9991 0.0068  4 Cr 2.46-2.66, 5 Co 2.51-2.55, 3 Ru 2.52-2.53
Co 0.2478 0.2478 0.2551  3 Cr 2.47-2.51, 5 Co 2.51-2.55, 4 Ru 2.54-2.57
Ru 0.7487 0.7487 0.7586  7 Co 2.52-2.57, 2 Ru 2.54, 3 Cr 2.56-2.62
Cr 0.5044 0.5044 0.4795  7 Co 2.46-2.66, 2 Cr 2.54, 3 Ru 2.56-2.62

---

Computed, not measured: a relaxed structure of Li3BeF at the GGA-PBE level of DFT.

- total magnetic moment (μB/f.u.) = 0.00
- raw formation energy (meV/atom) = -823
- uncorrected energy (eV/atom) = -3.091
- offset from the most stable computed form (kcal/mol of atoms) = 0.00

a = 3.9638 Å, b = 3.9638 Å, c = 3.9638 Å
α = 90.00°, β = 90.00°, γ = 90.00°
Last column: nearest neighbours and their distance in Å.
Fractional coordinates of all 5 atoms:
Li 0.0000 0.0000 0.5000  2 F 1.98
Li 0.5000 0.0000 0.0000  2 F 1.98
Li 0.0000 0.5000 0.0000  2 F 1.98
F 0.0000 0.0000 0.0000  6 Li 1.98
Be 0.5000 0.5000 0.5000  12 Li 2.80

---

Computed, not measured: a relaxed structure of TePt2I2 at the GGA-PBE level of DFT.

- total magnetic moment (μB/f.u.) = 0.00
- raw formation energy (meV/atom) = 426
- uncorrected energy (eV/atom) = -3.238
- offset from the most stable computed form (kcal/mol of atoms) = 0.00

a = 5.5225 Å, b = 5.5225 Å, c = 5.7280 Å
α = 61.18°, β = 61.18°, γ = 90.00°
Last column: nearest neighbours and their distance in Å.
Fractional coordinates of all 5 atoms:
Te 0.0000 0.0000 0.0000  2 Pt 2.75
I 0.2500 0.7500 0.5000  4 Pt 2.84
I 0.7500 0.2500 0.5000  4 Pt 2.84
Pt 0.6714 0.6714 0.6572  1 Te 2.75, 4 I 2.84, 1 Pt 2.87
Pt 0.3286 0.3286 0.3428  1 Te 2.75, 4 I 2.84, 1 Pt 2.87

---

Computed, not measured: a relaxed structure of NbCoIrRu at the GGA-PBE level of DFT.

- total magnetic moment (μB/f.u.) = 0.00
- ΔE_f (meV per atom) = -308.2
- uncorrected energy (eV/atom) = -9.136

a = 3.8020 Å, b = 3.8286 Å, c = 3.8849 Å
α = 90.00°, β = 90.00°, γ = 90.00°
Last column: nearest neighbours and their distance in Å.
Fractional coordinates of all 4 atoms:
Ir 0.0000 0.5000 0.5000  4 Co 2.70, 4 Nb 2.72, 4 Ru 2.73
Nb 0.5000 0.5000 0.0000  4 Ru 2.70, 4 Ir 2.72, 4 Co 2.73
Co 0.5000 0.0000 0.5000  4 Ir 2.70, 4 Ru 2.72, 4 Nb 2.73
Ru 0.0000 0.0000 0.0000  4 Nb 2.70, 4 Co 2.72, 4 Ir 2.73

---

Computed, not measured: a relaxed structure of BeSbPd2 at the GGA-PBE level of DFT.

- total magnetic moment (μB/f.u.) = 0.00
- raw formation energy (meV/atom) = -240
- uncorrected energy (eV/atom) = -4.799
- offset from the most stable computed form (kcal/mol of atoms) = 0.00

a = 4.4531 Å, b = 4.4531 Å, c = 4.4531 Å
α = 60.00°, β = 60.00°, γ = 60.00°
Last column: nearest neighbours and their distance in Å.
Fractional coordinates of all 4 atoms:
Pd 0.2500 0.2500 0.2500  4 Sb 2.73, 4 Be 2.73
Pd 0.7500 0.7500 0.7500  4 Be 2.73, 4 Sb 2.73
Be 0.0000 0.0000 0.0000  8 Pd 2.73
Sb 0.5000 0.5000 0.5000  8 Pd 2.73

---

Computed, not measured: a relaxed structure of TaCdBS2 at the GGA-PBE level of DFT.

- total magnetic moment (μB/f.u.) = 2.69
- raw formation energy (meV/atom) = 1603
- uncorrected energy (eV/atom) = -3.937

a = 5.0273 Å, b = 4.0924 Å, c = 5.0273 Å
α = 90.00°, β = 90.00°, γ = 90.00°
Last column: nearest neighbours and their distance in Å.
Fractional coordinates of all 5 atoms:
S 0.5000 0.0000 0.0000  2 Cd 2.51
S 0.0000 0.0000 0.5000  2 Cd 2.51
B 0.0000 0.5000 0.0000  2 Cd 2.05
Ta 0.5000 0.5000 0.5000  8 S 3.24, 4 B 3.55
Cd 0.0000 0.0000 0.0000  2 B 2.05

---

Computed, not measured: a relaxed structure of SrCaCl2 at the GGA-PBE level of DFT.

- total magnetic moment (μB/f.u.) = 0.00
- raw formation energy (meV/atom) = -1663
- uncorrected energy (eV/atom) = -3.507
- offset from the most stable computed form (kcal/mol of atoms) = 0.59

a = 10.0261 Å, b = 10.0261 Å, c = 3.7744 Å
α = 90.13°, β = 90.13°, γ = 21.67°
Last column: nearest neighbours and their distance in Å.
Fractional coordinates of all 4 atoms:
Cl 0.0278 0.0278 0.8774  4 Sr 3.01
Cl 0.2263 0.2263 0.3729  4 Ca 2.94
Sr 0.4566 0.4566 0.3765  4 Cl 3.01
Ca 0.7892 0.7892 0.8732  4 Cl 2.94

---

Computed, not measured: a relaxed structure of Hg2PCS at the GGA-PBE level of DFT.

- total magnetic moment (μB/f.u.) = 0.00
- raw formation energy (meV/atom) = 1090
- uncorrected energy (eV/atom) = -2.783

a = 5.0936 Å, b = 3.6726 Å, c = 5.0936 Å
α = 90.00°, β = 90.00°, γ = 90.00°
Last column: nearest neighbours and their distance in Å.
Fractional coordinates of all 5 atoms:
P 0.0000 0.5000 0.0000  2 C 1.84
Hg 0.0000 0.0000 0.5000  2 C 2.55
Hg 0.5000 0.0000 0.0000  2 C 2.55
S 0.5000 0.5000 0.5000  8 Hg 3.14
C 0.0000 0.0000 0.0000  2 P 1.84

---

Computed, not measured: a relaxed structure of Na3Ca3AlSb4 at the GGA-PBE level of DFT.

- total magnetic moment (μB/f.u.) = 0.00
- raw formation energy (meV/atom) = -713
- uncorrected energy (eV/atom) = -3.458

a = 10.0941 Å, b = 10.0941 Å, c = 7.6199 Å
α = 90.00°, β = 90.00°, γ = 120.00°
Last column: nearest neighbours and their distance in Å.
Fractional coordinates of all 22 atoms:
Na 0.2855 0.1427 0.5496  4 Sb 3.04-3.36
Na 0.1427 0.8573 0.0496  4 Sb 3.04-3.36
Na 0.7145 0.8573 0.0496  4 Sb 3.04-3.36
Na 0.1427 0.2855 0.0496  4 Sb 3.04-3.36
Na 0.8573 0.1427 0.5496  4 Sb 3.04-3.36
Na 0.8573 0.7145 0.5496  4 Sb 3.04-3.36
Sb 0.3333 0.6667 0.9972  1 Al 2.74
Sb 0.8124 0.6248 0.9633  1 Al 2.67
Sb 0.1876 0.3752 0.4633  1 Al 2.67
Sb 0.8124 0.1876 0.9633  1 Al 2.67
Sb 0.1876 0.8124 0.4633  1 Al 2.67
Sb 0.3752 0.1876 0.9633  1 Al 2.67
Sb 0.6667 0.3333 0.4972  1 Al 2.74
Sb 0.6248 0.8124 0.4633  1 Al 2.67
Al 0.6667 0.3333 0.8571  4 Sb 2.67-2.74
Al 0.3333 0.6667 0.3571  4 Sb 2.67-2.74
Ca 0.5209 0.4791 0.2307  5 Sb 3.26-3.47, 1 Al 3.42, 2 Na 3.58
Ca 0.4791 0.9583 0.7307  5 Sb 3.26-3.47, 1 Al 3.42, 2 Na 3.58
Ca 0.0417 0.5209 0.7307  5 Sb 3.26-3.47, 1 Al 3.42, 2 Na 3.58
Ca 0.4791 0.5209 0.7307  5 Sb 3.26-3.47, 1 Al 3.42, 2 Na 3.58
Ca 0.9583 0.4791 0.2307  5 Sb 3.26-3.47, 1 Al 3.42, 2 Na 3.58
Ca 0.5209 0.0417 0.2307  5 Sb 3.26-3.47, 1 Al 3.42, 2 Na 3.58

---

Computed, not measured: a relaxed structure of Tc2GePSe at the GGA-PBE level of DFT.

- total magnetic moment (μB/f.u.) = 2.97
- raw formation energy (meV/atom) = 1364
- uncorrected energy (eV/atom) = -5.484

a = 4.7400 Å, b = 4.4183 Å, c = 4.7400 Å
α = 90.00°, β = 90.00°, γ = 90.00°
Last column: nearest neighbours and their distance in Å.
Fractional coordinates of all 5 atoms:
Se 0.5000 0.5000 0.5000  8 Tc 3.24, 4 P 3.35
Ge 0.0000 0.0000 0.0000  2 P 2.21, 4 Tc 2.37
Tc 0.0000 0.0000 0.5000  2 Ge 2.37
Tc 0.5000 0.0000 0.0000  2 Ge 2.37
P 0.0000 0.5000 0.0000  2 Ge 2.21

---

Computed, not measured: a relaxed structure of TaInSi at the GGA-PBE level of DFT.

- total magnetic moment (μB/f.u.) = 0.00
- raw formation energy (meV/atom) = 214
- uncorrected energy (eV/atom) = -6.457

a = 3.0496 Å, b = 3.0496 Å, c = 6.9680 Å
α = 90.00°, β = 90.00°, γ = 120.00°
Last column: nearest neighbours and their distance in Å.
Fractional coordinates of all 3 atoms:
Ta 0.3333 0.6667 0.6477  3 Si 2.72, 3 In 3.03
Si 0.6667 0.3333 0.3506  3 Ta 2.72, 3 In 3.00
In 0.0000 0.0000 0.0017  3 Si 3.00, 3 Ta 3.03, 6 In 3.05

---

Computed, not measured: a relaxed structure of BaIn4Pt at the GGA-PBE level of DFT.

- total magnetic moment (μB/f.u.) = 0.00
- ΔE_f (meV per atom) = -3.4
- uncorrected energy (eV/atom) = -3.156

a = 6.1632 Å, b = 6.1632 Å, c = 6.1632 Å
α = 60.00°, β = 60.00°, γ = 60.00°
Last column: nearest neighbours and their distance in Å.
Fractional coordinates of all 6 atoms:
In 0.8723 0.3759 0.3759  6 In 3.06-3.10
In 0.3759 0.8723 0.3759  6 In 3.06-3.10
In 0.3759 0.3759 0.8723  6 In 3.06-3.10
In 0.3759 0.3759 0.3759  6 In 3.06-3.10
Pt 0.7500 0.7500 0.7500  12 In 3.61, 4 Ba 3.77
Ba 0.0000 0.0000 0.0000  12 In 3.62, 4 Pt 3.77

---

Computed, not measured: a relaxed structure of SrTmIn at the GGA-PBE level of DFT.

- total magnetic moment (μB/f.u.) = 0.00
- ΔE_f (meV per atom) = -304.6
- uncorrected energy (eV/atom) = -3.269
- offset from the most stable computed form (kcal/mol of atoms) = 0.00

a = 5.0590 Å, b = 5.0590 Å, c = 8.1886 Å
α = 90.00°, β = 90.00°, γ = 90.00°
Last column: nearest neighbours and their distance in Å.
Fractional coordinates of all 6 atoms:
Tm 0.0000 0.0000 0.5000  4 In 3.14
Tm 0.5000 0.5000 0.5000  4 In 3.14
Sr 0.5000 0.0000 0.1466  5 In 3.44-3.72, 4 Tm 3.84
Sr 0.0000 0.5000 0.8534  5 In 3.44-3.72, 4 Tm 3.84
In 0.5000 0.0000 0.7268  4 Tm 3.14, 1 Sr 3.44
In 0.0000 0.5000 0.2732  4 Tm 3.14, 1 Sr 3.44

---

Computed, not measured: a relaxed structure of VFe2Au at the GGA-PBE level of DFT.

- total magnetic moment (μB/f.u.) = 2.54
- ΔE_f (meV per atom) = 42.6
- uncorrected energy (eV/atom) = -7.288
- offset from the most stable computed form (kcal/mol of atoms) = 0.53

a = 3.0889 Å, b = 3.0889 Å, c = 5.6715 Å
α = 90.00°, β = 90.00°, γ = 90.00°
Last column: nearest neighbours and their distance in Å.
Fractional coordinates of all 4 atoms:
V 0.5000 0.5000 0.0000  8 Fe 2.50
Fe 0.0000 0.0000 0.7855  1 Fe 2.43, 4 V 2.50, 4 Au 2.72
Fe 0.0000 0.0000 0.2145  1 Fe 2.43, 4 V 2.50, 4 Au 2.72
Au 0.5000 0.5000 0.5000  8 Fe 2.72, 2 V 2.84

---

Computed, not measured: a relaxed structure of KAlTl2 at the GGA-PBE level of DFT.

- total magnetic moment (μB/f.u.) = 0.00
- ΔE_f (meV per atom) = 168.0
- uncorrected energy (eV/atom) = -2.225
- offset from the most stable computed form (kcal/mol of atoms) = 3.21

a = 11.0886 Å, b = 11.0886 Å, c = 11.0886 Å
α = 18.23°, β = 18.23°, γ = 18.23°
Last column: nearest neighbours and their distance in Å.
Fractional coordinates of all 4 atoms:
Tl 0.9906 0.9906 0.9906  3 Al 3.16, 6 Tl 3.51
Tl 0.5094 0.5094 0.5094  3 Al 3.16, 6 Tl 3.51
Al 0.2500 0.2500 0.2500  6 Tl 3.16, 6 Al 3.51
K 0.7500 0.7500 0.7500  6 K 3.51, 6 Tl 3.65

---

Computed, not measured: a relaxed structure of ScAs2Pd7Pb2 at the GGA-PBE level of DFT.

- total magnetic moment (μB/f.u.) = 0.00
- ΔE_f (meV per atom) = -462.0
- uncorrected energy (eV/atom) = -5.412

a = 4.0264 Å, b = 4.0264 Å, c = 14.4184 Å
α = 85.64°, β = 85.64°, γ = 90.02°
Last column: nearest neighbours and their distance in Å.
Fractional coordinates of all 12 atoms:
Pd 0.6093 0.6093 0.5817  1 As 2.50, 1 Pd 2.78
Pd 0.5395 0.0398 0.8588  2 As 2.49
Pd 0.3907 0.3907 0.4183  1 As 2.50, 1 Pd 2.78
Pd 0.9602 0.4605 0.1412  2 As 2.49
Pd 0.0398 0.5395 0.8588  2 As 2.49
Pd 0.5000 0.5000 0.0000  4 Sc 2.85, 8 Pd 2.85-2.86
Pd 0.4605 0.9602 0.1412  2 As 2.49
Pb 0.8891 0.8891 0.3919  5 Pd 2.82-3.02
Pb 0.1109 0.1109 0.6081  5 Pd 2.82-3.02
As 0.5674 0.5674 0.7562  5 Pd 2.49-2.50
As 0.4326 0.4326 0.2438  5 Pd 2.49-2.50
Sc 0.0000 0.0000 0.0000  12 Pd 2.85-2.86

---

Computed, not measured: a relaxed structure of Mg2MnAs2Rh at the GGA-PBE level of DFT.

- total magnetic moment (μB/f.u.) = 1.52
- ΔE_f (meV per atom) = -463.2
- uncorrected energy (eV/atom) = -5.298

a = 5.7575 Å, b = 5.6764 Å, c = 7.3516 Å
α = 112.71°, β = 113.05°, γ = 90.00°
Last column: nearest neighbours and their distance in Å.
Fractional coordinates of all 12 atoms:
Mg 0.9248 0.6583 0.3165  5 As 2.70-2.97, 2 Rh 2.76, 2 Mn 2.85
Mg 0.3917 0.1583 0.3165  5 As 2.70-2.97, 2 Rh 2.76, 2 Mn 2.85
Mg 0.6083 0.8417 0.6835  5 As 2.70-2.97, 2 Rh 2.76, 2 Mn 2.85
Mg 0.0752 0.3417 0.6835  5 As 2.70-2.97, 2 Rh 2.76, 2 Mn 2.85
Mn 0.5000 0.2500 0.0000  4 As 2.43
Mn 0.5000 0.7500 0.0000  4 As 2.43
As 0.6028 0.3784 0.7569  2 Mn 2.43, 2 Rh 2.60, 1 Mg 2.70
As 0.3972 0.6216 0.2431  2 Mn 2.43, 2 Rh 2.60, 1 Mg 2.70
As 0.8459 0.1216 0.2431  2 Mn 2.43, 2 Rh 2.60, 1 Mg 2.70
As 0.1541 0.8784 0.7569  2 Mn 2.43, 2 Rh 2.60, 1 Mg 2.70
Rh 0.0000 0.2500 0.0000  4 As 2.60, 4 Mg 2.76, 2 Rh 2.84, 2 Mn 2.88
Rh 0.0000 0.7500 0.0000  4 As 2.60, 4 Mg 2.76, 2 Rh 2.84, 2 Mn 2.88

---

Computed, not measured: a relaxed structure of Cd2TcAg at the GGA-PBE level of DFT.

- total magnetic moment (μB/f.u.) = 0.74
- ΔE_f (meV per atom) = 275.8
- uncorrected energy (eV/atom) = -3.486
- offset from the most stable computed form (kcal/mol of atoms) = 0.41

a = 2.8611 Å, b = 2.8611 Å, c = 8.8499 Å
α = 90.00°, β = 90.00°, γ = 90.00°
Last column: nearest neighbours and their distance in Å.
Fractional coordinates of all 4 atoms:
Cd 0.0000 0.0000 0.4924  4 Cd 2.86, 4 Tc 2.95, 4 Ag 3.05
Cd 0.0000 0.0000 0.0076  4 Cd 2.86, 4 Tc 2.95, 4 Ag 3.05
Tc 0.5000 0.5000 0.2500  4 Tc 2.86, 8 Cd 2.95
Ag 0.5000 0.5000 0.7500  4 Ag 2.86, 8 Cd 3.05